{"formula": "NbTe3Au", "functional": "GGA-PBE", "state": "optimized geometry", "sg": "No. 14", "e_form_raw_ev_per_atom": -0.15, "dos_at_fermi_per_ev_cell": 11.7, "de_polymorph_mev_per_atom": 0.0, "m_tot_mub_per_cell": 0.00, "lattice": [[5.5357, 0.0000, 0.6343], [0.0000, 6.8810, 0.0000], [0.2088, 0.0000, 14.0554]], "species": ["Te", "Te", "Te", "Te", "Te", "Te", "Te", "Te", "Te", "Te", "Te", "Te", "Nb", "Nb", "Nb", "Nb", "Au", "Au", "Au", "Au"], "frac_coords": [[0.6169, 0.8267, 0.4017], [0.3140, 0.1532, 0.8977], [0.8140, 0.3468, 0.3977], [0.6860, 0.8468, 0.1023], [0.6291, 0.5232, 0.7411], [0.8709, 0.0232, 0.7589], [0.1169, 0.6733, 0.9017], [0.3831, 0.1733, 0.5983], [0.8831, 0.3267, 0.0983], [0.1291, 0.9768, 0.2411], [0.1860, 0.6532, 0.6023], [0.3709, 0.4768, 0.2589], [0.3903, 0.8857, 0.7399], [0.6097, 0.1143, 0.2601], [0.1097, 0.3857, 0.7601], [0.8903, 0.6143, 0.2399], [0.6936, 0.4131, 0.9291], [0.8064, 0.9131, 0.5709], [0.1936, 0.0869, 0.4291], [0.3064, 0.5869, 0.0709]]}